# GGA-PBE CoHSeBr, optimized geometry
# Offset from the most stable computed form (meV per atom): 97.1
# VASP energy (eV/atom): -3.910
data_CoHSeBr
_chemical_formula_sum 'Co1 H1 Se1 Br1'
_cell_length_a 3.3741
_cell_length_b 3.9956
_cell_length_c 6.1687
_cell_angle_alpha 102.54
_cell_angle_beta 90.50
_cell_angle_gamma 114.97
_space_group_name_H-M_alt 'P 1'
_space_group_IT_number 1
loop_
_space_group_symop_operation_xyz
'x,y,z'
loop_
_atom_site_label
_atom_site_fract_x
_atom_site_fract_y
_atom_site_fract_z
Co1 0.0000 0.0000 0.0000
H1 0.1312 0.2685 0.8511
Se1 0.7048 0.4046 0.1567
Br1 0.3555 0.7200 0.7116



# GGA-PBE Pr3Tm2Tl4, optimized geometry
# VASP energy (eV/atom): -3.876
data_Pr3Tm2Tl4
_chemical_formula_sum 'Pr12 Tm8 Tl16'
_cell_length_a 15.6314
_cell_length_b 11.0673
_cell_length_c 6.2793
_cell_angle_alpha 90.00
_cell_angle_beta 95.13
_cell_angle_gamma 90.00
_space_group_name_H-M_alt 'C 1 2/c 1'
_space_group_IT_number 15
loop_
_space_group_symop_operation_xyz
'x,y,z'
'-x,-y,-z'
'-x,y,-z+1/2'
'x,-y,z+1/2'
'x+1/2,y+1/2,z'
'-x+1/2,-y+1/2,-z'
'-x+1/2,y+1/2,-z+1/2'
'x+1/2,-y+1/2,z+1/2'
loop_
_atom_site_label
_atom_site_fract_x
_atom_site_fract_y
_atom_site_fract_z
Pr1 0.0000 0.0389 0.2500
Pr2 0.1110 0.3994 0.4198
Tm1 0.2221 0.1266 0.1381
Tl1 0.0722 0.2892 0.9386
Tl2 0.1710 0.1354 0.6233



- Among the records above, which one has the highest VASP energy?
  Pr3Tm2Tl4